[1]
{
  "formula": "NaCrS2N",
  "functional": "PBE",
  "state": "relaxed",
  "cell": [[-0.504, -4.269, 1.982], [2.150, -1.983, -3.722], [3.149, 0.379, 1.617]],
  "species": ["S", "Na", "Cr", "N", "S"],
  "fractional_positions": [[0.500, 0.000, 0.000], [0.500, 0.500, 0.500], [0.000, 0.000, 0.000], [0.000, 0.000, 0.500], [0.000, 0.500, 0.000]],
  "total_magnetization_mub_per_fu": 0.00,
  "crystal_system": "tetragonal",
  "e_tot_ev_per_atom": -5.66,
  "space_group": "P4/mmm (123)"
}


[2]
{
  "formula": "LiPrThOs",
  "functional": "PBE",
  "state": "relaxed",
  "cell": [[-0.443, -1.618, -4.813], [-3.461, -3.547, -1.188], [-4.104, 1.263, -2.746]],
  "species": ["Os", "Li", "Pr", "Th"],
  "fractional_positions": [[0.500, 0.500, 0.500], [0.000, 0.000, 0.000], [0.750, 0.750, 0.750], [0.250, 0.250, 0.250]],
  "total_magnetization_mub_per_fu": 0.00,
  "crystal_system": "cubic",
  "formation_energy_ev_per_atom": -0.06,
  "e_tot_ev_per_atom": -6.40,
  "space_group": "F-43m (216)"
}


[3]
{
  "formula": "Sc12Co6Ge",
  "functional": "PBE",
  "state": "relaxed",
  "cell": [[-5.845, 2.875, 4.155], [1.589, -7.167, 2.406], [6.241, 4.463, 0.903]],
  "species": ["Sc", "Sc", "Sc", "Sc", "Co", "Sc", "Sc", "Co", "Sc", "Co", "Sc", "Sc", "Co", "Co", "Sc", "Co", "Ge", "Sc", "Sc"],
  "fractional_positions": [[0.802, 0.294, 0.096], [0.508, 0.802, 0.706], [0.198, 0.294, 0.492], [0.802, 0.706, 0.508], [0.379, 0.500, 0.879], [0.706, 0.508, 0.802], [0.904, 0.198, 0.706], [0.500, 0.121, 0.621], [0.706, 0.904, 0.198], [0.121, 0.621, 0.500], [0.294, 0.492, 0.198], [0.096, 0.802, 0.294], [0.500, 0.879, 0.379], [0.621, 0.500, 0.121], [0.492, 0.198, 0.294], [0.879, 0.379, 0.500], [0.000, 0.000, 0.000], [0.198, 0.706, 0.904], [0.294, 0.096, 0.802]],
  "total_magnetization_mub_per_fu": 0.00,
  "crystal_system": "cubic",
  "formation_energy_ev_per_atom": -0.34,
  "e_tot_ev_per_atom": -6.83,
  "space_group": "Im-3 (204)"
}


[4]
{
  "formula": "KPt2Br",
  "functional": "PBE",
  "state": "relaxed",
  "cell": [[-1.275, -3.811, -6.174], [-1.814, -0.833, 7.091], [-2.768, 0.156, -0.148]],
  "species": ["Pt", "Br", "K", "Pt"],
  "fractional_positions": [[0.000, 0.000, 0.000], [0.500, 0.000, 0.500], [0.000, 0.500, 0.500], [0.500, 0.500, 0.000]],
  "total_magnetization_mub_per_fu": 0.12,
  "crystal_system": "monoclinic",
  "e_tot_ev_per_atom": -3.58,
  "space_group": "C2/m (12)",
  "e_above_lowest_polymorph_ev_per_atom": 0.326
}


[5]
{
  "formula": "Be3BRu2",
  "functional": "PBE",
  "state": "relaxed",
  "cell": [[3.805, -0.112, -1.991], [-2.421, 3.544, -0.188], [-0.194, 0.094, 4.256]],
  "species": ["Be", "Ru", "B", "Ru", "Be", "Be"],
  "fractional_positions": [[0.500, 0.000, 0.500], [0.746, 0.373, 0.119], [0.000, 0.000, 0.000], [0.254, 0.627, 0.881], [0.000, 0.000, 0.500], [0.500, 0.500, 0.500]],
  "total_magnetization_mub_per_fu": 0.00,
  "crystal_system": "trigonal",
  "formation_energy_ev_per_atom": -0.24,
  "e_tot_ev_per_atom": -6.31,
  "space_group": "R-3m (166)"
}


[6]
{
  "formula": "LaCuTc2",
  "functional": "PBE",
  "state": "relaxed",
  "cell": [[-2.037, -3.939, 2.112], [1.134, -4.284, 2.118], [0.158, 1.523, 4.752]],
  "species": ["Tc", "Tc", "Cu", "La"],
  "fractional_positions": [[0.525, 0.525, 0.431], [0.975, 0.975, 0.069], [0.250, 0.250, 0.250], [0.750, 0.750, 0.750]],
  "total_magnetization_mub_per_fu": 0.00,
  "crystal_system": "monoclinic",
  "formation_energy_ev_per_atom": 0.36,
  "e_tot_ev_per_atom": -7.07,
  "space_group": "C2/m (12)",
  "e_above_lowest_polymorph_ev_per_atom": 0.310
}


[7]
{
  "formula": "Cd5Te",
  "functional": "PBE",
  "state": "relaxed",
  "cell": [[2.683, -4.648, 0.000], [2.683, 4.648, 0.000], [0.000, 0.000, 6.369]],
  "species": ["Cd", "Cd", "Cd", "Te", "Cd", "Cd"],
  "fractional_positions": [[0.669, 0.000, 0.000], [0.331, 0.331, 0.000], [0.333, 0.667, 0.500], [0.000, 0.000, 0.500], [0.000, 0.669, 0.000], [0.667, 0.333, 0.500]],
  "total_magnetization_mub_per_fu": 0.00,
  "crystal_system": "hexagonal",
  "e_tot_ev_per_atom": -1.21,
  "space_group": "P-62m (189)",
  "e_above_lowest_polymorph_ev_per_atom": 0.058
}


[8]
{
  "formula": "MgHgCl",
  "functional": "PBE",
  "state": "relaxed",
  "cell": [[-4.036, 1.260, -2.405], [-4.193, -2.288, 0.919], [-3.585, 2.331, 2.318]],
  "species": ["Cl", "Hg", "Mg"],
  "fractional_positions": [[0.000, 0.000, 0.000], [0.500, 0.500, 0.500], [0.750, 0.750, 0.750]],
  "total_magnetization_mub_per_fu": 0.00,
  "crystal_system": "cubic",
  "e_tot_ev_per_atom": -1.70,
  "space_group": "F-43m (216)",
  "e_above_lowest_polymorph_ev_per_atom": 0.381
}


[9]
{
  "formula": "NbHOs2Ru",
  "functional": "PBE",
  "state": "relaxed",
  "cell": [[3.955, 0.000, 0.000], [0.000, 3.955, 0.000], [0.000, 0.000, 3.984]],
  "species": ["Nb", "Os", "Ru", "H", "Os"],
  "fractional_positions": [[0.500, 0.500, 0.500], [0.500, 0.000, 0.000], [0.000, 0.000, 0.500], [0.000, 0.000, 0.000], [0.000, 0.500, 0.000]],
  "total_magnetization_mub_per_fu": 0.00,
  "crystal_system": "tetragonal",
  "e_tot_ev_per_atom": -9.09,
  "space_group": "P4/mmm (123)",
  "e_above_lowest_polymorph_ev_per_atom": 0.000
}


[10]
{
  "formula": "Pm3Cd2Ag3",
  "functional": "PBE",
  "state": "relaxed",
  "cell": [[4.231, 0.000, 0.000], [0.000, 6.502, -3.754], [0.000, 0.000, 7.508]],
  "species": ["Ag", "Pm", "Pm", "Pm", "Cd", "Ag", "Cd", "Ag"],
  "fractional_positions": [[0.000, 0.000, 0.233], [0.500, 0.360, 0.360], [0.500, 0.640, 0.000], [0.500, 0.000, 0.640], [0.000, 0.667, 0.333], [0.000, 0.767, 0.767], [0.000, 0.333, 0.667], [0.000, 0.233, 0.000]],
  "total_magnetization_mub_per_fu": 0.00,
  "crystal_system": "hexagonal",
  "formation_energy_ev_per_atom": -0.19,
  "e_tot_ev_per_atom": -3.27,
  "space_group": "P-62m (189)",
  "e_above_lowest_polymorph_ev_per_atom": 0.049
}


[11]
{
  "formula": "PmNd4Al",
  "functional": "PBE",
  "state": "relaxed",
  "cell": [[6.399, -0.669, 0.000], [-2.538, 8.839, 0.000], [-1.931, -4.085, 7.087]],
  "species": ["Nd", "Nd", "Nd", "Al", "Pm", "Nd", "Nd", "Nd", "Pm", "Nd", "Nd", "Al"],
  "fractional_positions": [[0.370, 0.918, 0.636], [0.764, 0.390, 0.222], [0.234, 0.283, 0.364], [0.250, 0.000, 0.000], [0.343, 0.593, 0.186], [0.042, 0.168, 0.778], [0.766, 0.717, 0.636], [0.236, 0.610, 0.778], [0.657, 0.407, 0.814], [0.630, 0.082, 0.364], [0.958, 0.832, 0.222], [0.750, 0.000, 0.000]],
  "total_magnetization_mub_per_fu": 0.00,
  "crystal_system": "monoclinic",
  "formation_energy_ev_per_atom": -0.03,
  "e_tot_ev_per_atom": -4.63,
  "space_group": "C2/c (15)",
  "e_above_lowest_polymorph_ev_per_atom": 0.062
}


[12]
{
  "formula": "PmTmAg",
  "functional": "PBE",
  "state": "relaxed",
  "cell": [[-0.196, -2.120, -3.078], [-0.203, -4.151, 2.871], [-4.263, 2.350, -1.347]],
  "species": ["Pm", "Tm", "Ag"],
  "fractional_positions": [[0.630, 0.667, 0.333], [0.097, 0.000, 0.000], [0.274, 0.333, 0.667]],
  "total_magnetization_mub_per_fu": 0.00,
  "crystal_system": "trigonal",
  "formation_energy_ev_per_atom": -0.03,
  "e_tot_ev_per_atom": -4.06,
  "space_group": "P3m1 (156)",
  "e_above_lowest_polymorph_ev_per_atom": 0.140
}


[13]
{
  "formula": "LaPrN",
  "functional": "PBE",
  "state": "relaxed",
  "cell": [[-5.729, -2.875, 1.733], [1.372, -3.282, -0.912], [0.398, 1.270, 3.423]],
  "species": ["La", "Pr", "N"],
  "fractional_positions": [[0.790, 0.667, 0.333], [0.212, 0.333, 0.667], [0.998, 0.000, 0.000]],
  "total_magnetization_mub_per_fu": 0.00,
  "crystal_system": "trigonal",
  "e_tot_ev_per_atom": -6.86,
  "space_group": "P3m1 (156)",
  "e_above_lowest_polymorph_ev_per_atom": 0.000
}


[14]
{
  "formula": "MgSiTc2B",
  "functional": "PBE",
  "state": "relaxed",
  "cell": [[4.449, 0.000, 0.000], [0.000, 4.570, 0.000], [0.000, 0.000, 4.449]],
  "species": ["Tc", "Tc", "B", "Si", "Mg"],
  "fractional_positions": [[0.500, 0.000, 0.000], [0.000, 0.000, 0.500], [0.500, 0.500, 0.500], [0.000, 0.000, 0.000], [0.000, 0.500, 0.000]],
  "total_magnetization_mub_per_fu": 2.24,
  "crystal_system": "tetragonal",
  "e_tot_ev_per_atom": -5.33,
  "space_group": "P4/mmm (123)"
}


[15]
{
  "formula": "BaSb2C",
  "functional": "PBE",
  "state": "relaxed",
  "cell": [[-0.941, 5.090, 5.393], [2.135, -5.020, 5.110], [4.454, 1.221, 4.805]],
  "species": ["C", "Sb", "C", "Ba", "Sb", "Ba", "Sb", "Sb"],
  "fractional_positions": [[0.500, 0.500, 0.000], [0.494, 0.125, 0.250], [0.250, 0.750, 0.500], [0.000, 0.000, 0.000], [0.375, 0.506, 0.750], [0.750, 0.250, 0.500], [0.256, 0.625, 0.250], [0.875, 0.744, 0.750]],
  "total_magnetization_mub_per_fu": 0.00,
  "crystal_system": "tetragonal",
  "e_tot_ev_per_atom": -4.54,
  "space_group": "I-42d (122)"
}


[16]
{
  "formula": "Ba2GaCl",
  "functional": "PBE",
  "state": "relaxed",
  "cell": [[3.930, 0.000, 0.000], [0.000, 3.930, 0.000], [0.000, 0.000, 8.796]],
  "species": ["Ba", "Ba", "Ga", "Cl"],
  "fractional_positions": [[0.000, 0.000, 0.238], [0.000, 0.000, 0.762], [0.500, 0.500, 0.000], [0.500, 0.500, 0.500]],
  "total_magnetization_mub_per_fu": 0.00,
  "crystal_system": "tetragonal",
  "e_tot_ev_per_atom": -3.21,
  "space_group": "P4/mmm (123)",
  "e_above_lowest_polymorph_ev_per_atom": 0.035
}


[17]
{
  "formula": "Mg2Ti",
  "functional": "PBE",
  "state": "relaxed",
  "cell": [[1.473, 5.800, -0.013], [-1.473, 5.800, -0.013], [0.000, 1.631, 7.175]],
  "species": ["Ti", "Mg", "Mg", "Ti", "Mg", "Mg"],
  "fractional_positions": [[0.204, 0.204, 0.378], [0.530, 0.530, 0.686], [0.860, 0.860, 0.018], [0.796, 0.796, 0.622], [0.140, 0.140, 0.982], [0.470, 0.470, 0.314]],
  "total_magnetization_mub_per_fu": 0.00,
  "crystal_system": "monoclinic",
  "formation_energy_ev_per_atom": 0.13,
  "e_tot_ev_per_atom": -3.57,
  "space_group": "C2/m (12)"
}


[18]
{
  "formula": "Y2ErSc3S6",
  "functional": "PBE",
  "state": "relaxed",
  "cell": [[3.792, 0.000, 0.000], [0.000, 7.614, 0.276], [-1.896, -2.192, 7.971]],
  "species": ["S", "Er", "Y", "Sc", "Sc", "S", "S", "S", "S", "Sc", "Y", "S"],
  "fractional_positions": [[0.004, 0.744, 0.008], [0.500, 0.000, 0.000], [0.167, 0.334, 0.334], [0.168, 0.833, 0.335], [0.832, 0.167, 0.665], [0.663, 0.593, 0.325], [0.337, 0.407, 0.675], [0.996, 0.256, 0.992], [0.331, 0.927, 0.662], [0.500, 0.500, 0.000], [0.833, 0.666, 0.666], [0.669, 0.073, 0.338]],
  "total_magnetization_mub_per_fu": 0.00,
  "crystal_system": "monoclinic",
  "e_tot_ev_per_atom": -7.02,
  "space_group": "C2/m (12)"
}


[19]
{
  "formula": "Pm4PuTl5",
  "functional": "PBE",
  "state": "relaxed",
  "cell": [[3.788, 0.000, 0.000], [0.000, 3.788, 0.000], [0.000, 0.000, 20.236]],
  "species": ["Pm", "Tl", "Tl", "Pu", "Tl", "Tl", "Pm", "Pm", "Pm", "Tl"],
  "fractional_positions": [[0.000, 0.000, 0.802], [0.500, 0.500, 0.500], [0.500, 0.500, 0.702], [0.000, 0.000, 0.000], [0.500, 0.500, 0.901], [0.500, 0.500, 0.099], [0.000, 0.000, 0.399], [0.000, 0.000, 0.601], [0.000, 0.000, 0.198], [0.500, 0.500, 0.298]],
  "total_magnetization_mub_per_fu": 6.01,
  "crystal_system": "tetragonal",
  "formation_energy_ev_per_atom": -0.30,
  "e_tot_ev_per_atom": -4.81,
  "space_group": "P4/mmm (123)"
}


[20]
{
  "formula": "SmGd2Au",
  "functional": "PBE",
  "state": "relaxed",
  "cell": [[4.675, 0.000, 0.000], [0.000, 4.843, 0.000], [0.000, 0.000, 4.843]],
  "species": ["Au", "Gd", "Gd", "Sm"],
  "fractional_positions": [[0.500, 0.000, 0.000], [0.000, 0.500, 0.000], [0.000, 0.000, 0.500], [0.500, 0.500, 0.500]],
  "total_magnetization_mub_per_fu": 15.86,
  "crystal_system": "tetragonal",
  "formation_energy_ev_per_atom": -0.25,
  "e_tot_ev_per_atom": -9.29,
  "space_group": "P4/mmm (123)",
  "e_above_lowest_polymorph_ev_per_atom": 0.137
}


[21]
{
  "formula": "PrZr2Nb",
  "functional": "PBE",
  "state": "relaxed",
  "cell": [[3.217, 0.000, 0.000], [1.609, 2.786, 0.000], [1.609, 0.929, 11.098]],
  "species": ["Zr", "Pr", "Nb", "Zr"],
  "fractional_positions": [[0.904, 0.904, 0.289], [0.000, 0.000, 0.000], [0.500, 0.500, 0.500], [0.096, 0.096, 0.711]],
  "total_magnetization_mub_per_fu": 0.00,
  "crystal_system": "trigonal",
  "formation_energy_ev_per_atom": 0.34,
  "e_tot_ev_per_atom": -7.65,
  "space_group": "R-3m (166)",
  "e_above_lowest_polymorph_ev_per_atom": 0.209
}


[22]
{
  "formula": "KTlBiPd2",
  "functional": "PBE",
  "state": "relaxed",
  "cell": [[4.821, 0.000, 0.000], [0.000, 7.633, 0.907], [0.000, -1.920, 7.570]],
  "species": ["Pd", "K", "Bi", "Pd", "Tl", "Pd", "Tl", "Pd", "K", "Bi"],
  "fractional_positions": [[0.750, 0.418, 0.555], [0.250, 0.865, 0.159], [0.250, 0.372, 0.122], [0.250, 0.482, 0.783], [0.250, 0.213, 0.501], [0.250, 0.582, 0.445], [0.750, 0.787, 0.499], [0.750, 0.518, 0.217], [0.750, 0.135, 0.841], [0.750, 0.628, 0.878]],
  "total_magnetization_mub_per_fu": 0.00,
  "crystal_system": "monoclinic",
  "formation_energy_ev_per_atom": -0.23,
  "e_tot_ev_per_atom": -3.78,
  "space_group": "P2_1/m (11)"
}


[23]
{
  "formula": "Dy6YHo2Sc",
  "functional": "PBE",
  "state": "relaxed",
  "cell": [[-3.565, 7.568, -4.267], [0.113, -4.743, -7.271], [-6.814, -0.917, 5.301]],
  "species": ["Sc", "Dy", "Ho", "Dy", "Dy", "Ho", "Y", "Dy", "Dy", "Dy", "Ho", "Sc", "Dy", "Dy", "Dy", "Dy", "Ho", "Dy", "Dy", "Y"],
  "fractional_positions": [[0.750, 0.586, 0.414], [0.383, 0.504, 0.291], [0.546, 0.201, 0.307], [0.690, 0.007, 0.565], [0.945, 0.872, 0.247], [0.954, 0.693, 0.799], [0.250, 0.978, 0.022], [0.310, 0.993, 0.435], [0.555, 0.753, 0.128], [0.445, 0.247, 0.872], [0.046, 0.307, 0.201], [0.250, 0.414, 0.586], [0.117, 0.709, 0.496], [0.617, 0.496, 0.709], [0.883, 0.291, 0.504], [0.810, 0.435, 0.993], [0.454, 0.799, 0.693], [0.055, 0.128, 0.753], [0.190, 0.565, 0.007], [0.750, 0.022, 0.978]],
  "total_magnetization_mub_per_fu": 0.00,
  "crystal_system": "monoclinic",
  "formation_energy_ev_per_atom": 0.12,
  "e_tot_ev_per_atom": -4.83,
  "space_group": "C2/c (15)"
}


[24]
{
  "formula": "Ac4Tb9Pr11",
  "functional": "PBE",
  "state": "relaxed",
  "cell": [[-0.342, -3.421, 1.310], [9.901, 3.308, 11.227], [-11.987, 4.439, 8.464]],
  "species": ["Pr", "Pr", "Pr", "Pr", "Ac", "Pr", "Pr", "Tb", "Pr", "Tb", "Tb", "Pr", "Tb", "Tb", "Tb", "Pr", "Tb", "Tb", "Pr", "Ac", "Pr", "Tb", "Ac", "Ac"],
  "fractional_positions": [[0.000, 0.764, 0.764], [0.000, 0.236, 0.236], [0.000, 0.074, 0.412], [0.000, 0.662, 0.338], [0.500, 0.721, 0.549], [0.000, 0.412, 0.074], [0.000, 0.832, 0.168], [0.500, 0.127, 0.627], [0.000, 0.168, 0.832], [0.500, 0.500, 0.500], [0.500, 0.373, 0.873], [0.000, 0.926, 0.588], [0.500, 0.873, 0.373], [0.500, 0.627, 0.127], [0.500, 0.967, 0.795], [0.000, 0.588, 0.926], [0.500, 0.033, 0.205], [0.500, 0.795, 0.967], [0.000, 0.338, 0.662], [0.500, 0.451, 0.279], [0.000, 0.000, 0.000], [0.500, 0.205, 0.033], [0.500, 0.549, 0.721], [0.500, 0.279, 0.451]],
  "total_magnetization_mub_per_fu": 0.00,
  "crystal_system": "orthorhombic",
  "formation_energy_ev_per_atom": 0.07,
  "e_tot_ev_per_atom": -4.54,
  "space_group": "Cmmm (65)"
}


[25]
{
  "formula": "Hf2RuF",
  "functional": "PBE",
  "state": "relaxed",
  "cell": [[4.233, -1.595, 0.522], [0.671, -4.388, 1.014], [1.774, -2.810, -3.112]],
  "species": ["F", "Hf", "Ru", "Hf"],
  "fractional_positions": [[0.000, 0.000, 0.000], [0.250, 0.250, 0.250], [0.500, 0.500, 0.500], [0.750, 0.750, 0.750]],
  "total_magnetization_mub_per_fu": 0.00,
  "crystal_system": "cubic",
  "e_tot_ev_per_atom": -8.55,
  "space_group": "Fm-3m (225)",
  "e_above_lowest_polymorph_ev_per_atom": 0.000
}